[1]
The following is a meta-GGA SCAN calculation of Y2Te at its PBEsol-relaxed geometry, from the Alexandria database. Values from VASP.

Values from the calculation:
D(E_F) = 2.9 states/eV/f.u.
Final energy = -380.004 eV/cell

Cell and atoms, written as Quantum ESPRESSO input:
```
&SYSTEM
  ibrav = 0, nat = 12, ntyp = 2
/
ATOMIC_SPECIES
Y 88.91 Y.upf
Te 127.60 Te.upf
ATOMIC_POSITIONS crystal
Y 0.000 0.250 0.307
Y 0.000 0.250 0.443
Y 0.000 0.750 0.557
Y 0.000 0.750 0.693
Y 0.500 0.250 0.057
Y 0.500 0.250 0.193
Y 0.500 0.750 0.807
Y 0.500 0.750 0.943
Te 0.000 0.250 0.875
Te 0.000 0.750 0.125
Te 0.500 0.250 0.625
Te 0.500 0.750 0.375
CELL_PARAMETERS angstrom
3.695 0.000 0.000
0.000 3.695 0.000
0.000 0.000 26.110
```


[2]
The following is a meta-GGA SCAN calculation of Y5Te at its PBEsol-relaxed geometry, from the Alexandria database. Values from VASP.

Values from the calculation:
Excess energy over the best structure of this formula in the dataset = 0 meV/atom
D(E_F) = 6.1 states/eV/f.u.
Final energy = -178.888 eV/cell

Cell and atoms, written as Quantum ESPRESSO input:
```
&SYSTEM
  ibrav = 0, nat = 6, ntyp = 2
/
ATOMIC_SPECIES
Y 88.91 Y.upf
Te 127.60 Te.upf
ATOMIC_POSITIONS crystal
Y 0.000 0.000 0.000
Y 0.000 0.000 0.360
Y 0.000 0.000 0.640
Y 0.500 0.500 0.185
Y 0.500 0.500 0.815
Te 0.500 0.500 0.500
CELL_PARAMETERS angstrom
3.771 0.000 0.000
0.000 3.771 0.000
0.000 0.000 12.283
```


[3]
The following is a meta-GGA SCAN calculation of YTe3 at its PBEsol-relaxed geometry, from the Alexandria database. Values from VASP.

Values from the calculation:
D(E_F) = 3.4 states/eV/f.u.
Final energy = -140.770 eV/cell

Cell and atoms, written as Quantum ESPRESSO input:
```
&SYSTEM
  ibrav = 0, nat = 4, ntyp = 2
/
ATOMIC_SPECIES
Y 88.91 Y.upf
Te 127.60 Te.upf
ATOMIC_POSITIONS crystal
Y 0.000 0.000 0.000
Te 0.000 0.000 0.500
Te 0.000 0.500 0.000
Te 0.500 0.000 0.000
CELL_PARAMETERS angstrom
5.801 0.000 0.000
0.000 5.801 0.000
0.000 0.000 5.801
```


[4]
The following is a meta-GGA SCAN calculation of YZnTe at its PBEsol-relaxed geometry, from the Alexandria database. Values from VASP.

Values from the calculation:
D(E_F) = 2.8 states/eV/f.u.
Final energy = -319.773 eV/cell

Cell and atoms, written as Quantum ESPRESSO input:
```
&SYSTEM
  ibrav = 0, nat = 12, ntyp = 3
/
ATOMIC_SPECIES
Y 88.91 Y.upf
Zn 65.41 Zn.upf
Te 127.60 Te.upf
ATOMIC_POSITIONS crystal
Y 0.000 0.000 0.000
Y 0.000 0.500 0.500
Y 0.500 0.000 0.500
Y 0.500 0.500 0.000
Zn 0.250 0.250 0.250
Zn 0.250 0.750 0.750
Zn 0.750 0.250 0.750
Zn 0.750 0.750 0.250
Te 0.250 0.250 0.750
Te 0.250 0.750 0.250
Te 0.750 0.250 0.250
Te 0.750 0.750 0.750
CELL_PARAMETERS angstrom
6.973 0.000 0.000
0.000 6.973 0.000
0.000 0.000 6.973
```


[5]
The following is a meta-GGA SCAN calculation of Y2ZnTe at its PBEsol-relaxed geometry, from the Alexandria database. Values from VASP.

Values from the calculation:
Excess energy over the best structure of this formula in the dataset = 34 meV/atom
D(E_F) = 2.3 states/eV/f.u.
Final energy = -219.927 eV/cell

Cell and atoms, written as Quantum ESPRESSO input:
```
&SYSTEM
  ibrav = 0, nat = 8, ntyp = 3
/
ATOMIC_SPECIES
Y 88.91 Y.upf
Zn 65.41 Zn.upf
Te 127.60 Te.upf
ATOMIC_POSITIONS crystal
Y 0.000 0.000 0.000
Y 0.000 0.500 0.500
Y 0.500 0.000 0.285
Y 0.500 0.500 0.785
Zn 0.000 0.000 0.748
Zn 0.000 0.500 0.248
Te 0.500 0.000 0.565
Te 0.500 0.500 0.065
CELL_PARAMETERS angstrom
4.130 0.000 0.000
0.000 4.228 0.000
0.000 0.000 11.174
```


[6]
The following is a meta-GGA SCAN calculation of Y2ZnTe at its PBEsol-relaxed geometry, from the Alexandria database. Values from VASP.

Values from the calculation:
Excess energy over the best structure of this formula in the dataset = 0 meV/atom
D(E_F) = 2.3 states/eV/f.u.
Final energy = -330.302 eV/cell

Cell and atoms, written as Quantum ESPRESSO input:
```
&SYSTEM
  ibrav = 0, nat = 12, ntyp = 3
/
ATOMIC_SPECIES
Y 88.91 Y.upf
Zn 65.41 Zn.upf
Te 127.60 Te.upf
ATOMIC_POSITIONS crystal
Y 0.000 0.000 0.246
Y 0.000 0.000 0.754
Y 0.333 0.667 0.420
Y 0.333 0.667 0.913
Y 0.667 0.333 0.087
Y 0.667 0.333 0.580
Zn 0.000 0.000 0.500
Zn 0.333 0.667 0.167
Zn 0.667 0.333 0.833
Te 0.000 0.000 0.000
Te 0.333 0.667 0.667
Te 0.667 0.333 0.333
CELL_PARAMETERS angstrom
4.051 0.000 0.000
-2.026 3.508 0.000
0.000 0.000 22.115
```


[7]
The following is a meta-GGA SCAN calculation of YZn4Te at its PBEsol-relaxed geometry, from the Alexandria database. Values from VASP.

Values from the calculation:
D(E_F) = 3.7 states/eV/f.u.
Final energy = -119.968 eV/cell

Cell and atoms, written as Quantum ESPRESSO input:
```
&SYSTEM
  ibrav = 0, nat = 6, ntyp = 3
/
ATOMIC_SPECIES
Y 88.91 Y.upf
Zn 65.41 Zn.upf
Te 127.60 Te.upf
ATOMIC_POSITIONS crystal
Y 0.000 0.000 0.000
Zn 0.375 0.375 0.375
Zn 0.375 0.375 0.876
Zn 0.375 0.876 0.375
Zn 0.876 0.375 0.375
Te 0.750 0.750 0.750
CELL_PARAMETERS angstrom
0.000 3.826 3.826
3.826 0.000 3.826
3.826 3.826 0.000
```


[8]
The following is a meta-GGA SCAN calculation of Y2ZnTe at its PBEsol-relaxed geometry, from the Alexandria database. Values from VASP.

Values from the calculation:
Excess energy over the best structure of this formula in the dataset = 189 meV/atom
D(E_F) = 2.5 states/eV/f.u.
Final energy = -218.686 eV/cell

Cell and atoms, written as Quantum ESPRESSO input:
```
&SYSTEM
  ibrav = 0, nat = 8, ntyp = 3
/
ATOMIC_SPECIES
Y 88.91 Y.upf
Zn 65.41 Zn.upf
Te 127.60 Te.upf
ATOMIC_POSITIONS crystal
Y 0.250 0.250 0.000
Y 0.250 0.750 0.000
Y 0.750 0.250 0.000
Y 0.750 0.750 0.000
Zn 0.000 0.000 0.500
Zn 0.500 0.500 0.500
Te 0.000 0.500 0.500
Te 0.500 0.000 0.500
CELL_PARAMETERS angstrom
6.627 0.000 0.000
0.000 7.916 0.000
0.000 0.000 3.649
```